Model P:
Density functional theory data (GGA-PBE) for an optimized crystal structure of CsRuRh.

## Properties
The value obtained for the spin magnetization is 0.000 μB per atom. The calculation puts the density of states at the Fermi level at 1.00 states/eV/atom.

a b c (Å): 10.137 5.254 3.967
angles (deg): 90.00 90.04 85.02
Positions (direct):
Cs  0.927  0.135  0.617
Cs  0.316  0.571  0.116
Ru  0.666  0.748  0.117
Ru  0.575  0.998  0.616
Rh  0.579  0.507  0.616
Rh  0.664  0.239  0.117


Model Q:
Density functional theory data (GGA-PBE) for an optimized crystal structure of CsRuRh.

## Properties
The value obtained for the spin magnetization is 0.060 μB per atom. The calculation puts the density of states at the Fermi level at 1.39 states/eV/atom.

a b c (Å): 35.535 12.080 12.080
angles (deg): 159.76 168.30 11.70
Positions (direct):
Cs  0.570  0.955  0.045
Cs  0.748  0.992  0.008
Ru  0.993  0.974  0.026
Ru  0.660  0.973  0.027
Rh  0.357  0.981  0.019
Rh  0.295  0.966  0.034


Ranking the structures above from most stable to least stable yields model Q, model P.